(1)
The following is a PBE calculation of crystalline Y3Pu5H12 at its relaxed geometry, from the Alexandria database.

```
Y3Pu5H12
1.0
11.250 0.000 0.000
-3.750 10.607 0.000
-3.750 -5.304 9.186
Y Pu H
12 20 48
direct
0.750 0.375 0.125 Y
0.875 0.750 0.125 Y
0.375 0.750 0.625 Y
0.250 0.125 0.375 Y
0.875 0.125 0.250 Y
0.375 0.625 0.250 Y
0.625 0.375 0.750 Y
0.125 0.875 0.750 Y
0.750 0.875 0.625 Y
0.625 0.250 0.375 Y
0.125 0.250 0.875 Y
0.250 0.625 0.875 Y
0.125 0.375 0.250 Pu
0.000 0.500 0.000 Pu
0.000 0.000 0.000 Pu
0.375 0.250 0.125 Pu
0.500 0.000 0.500 Pu
0.500 0.500 0.000 Pu
0.125 0.750 0.375 Pu
0.750 0.125 0.875 Pu
0.750 0.625 0.375 Pu
0.375 0.125 0.750 Pu
0.625 0.875 0.250 Pu
0.500 0.500 0.500 Pu
0.500 0.000 0.000 Pu
0.000 0.000 0.500 Pu
0.250 0.375 0.625 Pu
0.250 0.875 0.125 Pu
0.000 0.500 0.500 Pu
0.875 0.250 0.625 Pu
0.625 0.750 0.875 Pu
0.875 0.625 0.750 Pu
0.728 0.154 0.072 H
0.344 0.572 0.418 H
0.928 0.346 0.272 H
0.572 0.228 0.154 H
0.574 0.728 0.656 H
0.928 0.582 0.156 H
0.344 0.772 0.426 H
0.082 0.926 0.154 H
0.582 0.928 0.656 H
0.728 0.574 0.156 H
0.772 0.428 0.346 H
0.844 0.918 0.072 H
0.154 0.728 0.572 H
0.346 0.418 0.074 H
0.074 0.918 0.346 H
0.426 0.154 0.582 H
0.074 0.156 0.228 H
0.428 0.656 0.082 H
0.844 0.926 0.272 H
0.154 0.426 0.082 H
0.346 0.928 0.772 H
0.582 0.654 0.426 H
0.918 0.844 0.572 H
0.772 0.344 0.926 H
0.418 0.346 0.574 H
0.082 0.156 0.428 H
0.228 0.656 0.074 H
0.156 0.074 0.728 H
0.654 0.072 0.228 H
0.846 0.574 0.918 H
0.572 0.344 0.918 H
0.574 0.846 0.418 H
0.926 0.844 0.772 H
0.926 0.082 0.654 H
0.846 0.272 0.428 H
0.156 0.082 0.928 H
0.654 0.582 0.926 H
0.418 0.072 0.344 H
0.272 0.426 0.844 H
0.228 0.572 0.654 H
0.918 0.074 0.846 H
0.656 0.228 0.574 H
0.428 0.772 0.846 H
0.072 0.418 0.844 H
0.426 0.272 0.344 H
0.072 0.654 0.728 H
0.656 0.428 0.582 H
0.272 0.846 0.928 H
```

## Properties
Mass density   9.08 g cm⁻³
DFT total energy   -0.2504 Ha/atom
Magnetic moment   0.34 μB/atom
Symmetry   Ia-3d

(2)
The following is a PBE calculation of crystalline Y2SbRhN at its relaxed geometry, from the Alexandria database.

```
Y2SbRhN
1.0
-0.566 -5.556 -1.098
0.514 -0.834 3.958
-5.618 0.411 0.816
Y Sb Rh N
2 1 1 1
direct
0.000 0.000 0.500 Y
0.500 0.000 0.000 Y
0.000 0.000 0.000 Sb
0.500 0.500 0.500 Rh
0.000 0.500 0.000 N
```

## Properties
Mass density   5.24 g cm⁻³
DFT total energy   -0.2139 Ha/atom
Raw formation energy   350 kJ/mol of formula units
Magnetic moment   0.00 μB/atom
Symmetry   P4/mmm

(3)
The following is a PBE calculation of crystalline YIn at its relaxed geometry, from the Alexandria database.

```
YIn
1.0
0.269 -4.388 4.388
2.518 -5.383 1.808
6.381 1.736 4.892
Y In
3 3
direct
0.305 0.305 0.359 Y
0.974 0.974 0.587 Y
0.285 0.285 0.942 Y
0.994 0.994 0.002 In
0.677 0.677 0.699 In
0.598 0.598 0.244 In
```

## Properties
Mass density   6.14 g cm⁻³
DFT total energy   -0.1813 Ha/atom
Formation energy   -0.333 eV/atom
Magnetic moment   0.16 μB/atom
Symmetry   Cm

(4)
The following is a PBE calculation of crystalline CdIn4Sn2 at its relaxed geometry, from the Alexandria database.

```
CdIn4Sn2
1.0
8.918 -0.856 0.871
-1.530 8.784 1.268
-2.866 -3.315 4.784
Cd In Sn
2 8 4
direct
0.228 0.771 0.501 Cd
0.021 0.979 0.998 Cd
0.851 0.179 0.243 In
0.398 0.571 0.256 In
0.948 0.617 0.745 In
0.821 0.148 0.756 In
0.383 0.051 0.256 In
0.302 0.133 0.756 In
0.430 0.601 0.743 In
0.867 0.699 0.245 In
0.625 0.375 0.751 Sn
0.625 0.875 0.249 Sn
0.625 0.375 0.251 Sn
0.125 0.375 0.749 Sn
```

## Properties
Mass density   6.17 g cm⁻³
Excess energy over the best structure of this formula in the dataset   0.572 eV per formula unit
DFT total energy   -0.1002 Ha/atom
Formation energy   0.114 eV/atom
Magnetic moment   0.00 μB/atom
Symmetry   P1

(5)
The following is a PBE calculation of crystalline Ac2Si5Pd at its relaxed geometry, from the Alexandria database.

```
Ac2Si5Pd
1.0
-4.655 -0.653 4.653
1.490 -4.367 -4.738
6.532 -0.624 0.832
Ac Si Pd
2 5 1
direct
0.500 0.234 0.734 Ac
0.500 0.734 0.234 Ac
0.427 0.708 0.708 Si
0.000 0.708 0.282 Si
0.000 0.282 0.708 Si
0.573 0.282 0.282 Si
0.000 0.328 0.328 Si
0.000 0.946 0.946 Pd
```

## Properties
Mass density   6.46 g cm⁻³
DFT total energy   -0.2035 Ha/atom
Raw formation energy   -364 kJ/mol of formula units
Magnetic moment   0.00 μB/atom
Symmetry   I4mm

(6)
The following is a PBE calculation of crystalline Ge3SbAs at its relaxed geometry, from the Alexandria database.

```
Ge3SbAs
1.0
-3.369 -3.700 -0.705
3.267 -2.400 -3.018
1.875 -2.468 3.992
Sb As Ge
1 1 3
direct
0.500 0.500 0.500 Sb
0.000 0.000 0.000 As
0.000 0.500 0.000 Ge
0.000 0.000 0.500 Ge
0.500 0.000 0.000 Ge
```

## Properties
Mass density   5.33 g cm⁻³
Excess energy over the best structure of this formula in the dataset   0.000 eV per formula unit
DFT total energy   -0.1436 Ha/atom
Raw formation energy   298 kJ/mol of formula units
Magnetic moment   0.00 μB/atom
Symmetry   Pm-3m

(7)
The following is a PBE calculation of crystalline Er3Tm12Mg at its relaxed geometry, from the Alexandria database.

```
Er3Tm12Mg
1.0
-4.800 0.617 0.858
-1.034 -1.911 -4.408
-0.882 -17.986 8.004
Er Tm Mg
3 12 1
direct
0.000 0.000 0.249 Er
0.000 0.000 0.500 Er
0.000 0.000 0.751 Er
0.500 0.500 0.000 Tm
0.500 0.500 0.246 Tm
0.500 0.500 0.500 Tm
0.500 0.500 0.754 Tm
0.500 0.000 0.124 Tm
0.500 0.000 0.374 Tm
0.500 0.000 0.626 Tm
0.500 0.000 0.876 Tm
0.000 0.500 0.124 Tm
0.000 0.500 0.374 Tm
0.000 0.500 0.626 Tm
0.000 0.500 0.876 Tm
0.000 0.000 0.000 Mg
```

## Properties
Mass density   8.91 g cm⁻³
DFT total energy   -0.1574 Ha/atom
Formation energy   0.025 eV/atom
Magnetic moment   0.00 μB/atom
Symmetry   P4/mmm

(8)
The following is a PBE calculation of crystalline TaSbRh2 at its relaxed geometry, from the Alexandria database.

```
TaSbRh2
1.0
-4.318 0.401 -1.352
-0.951 -0.480 2.896
-0.145 4.651 1.843
Ta Sb Rh
1 1 2
direct
0.500 0.538 0.174 Ta
0.000 0.722 0.583 Sb
0.000 0.029 0.047 Rh
0.500 0.212 0.696 Rh
```

## Properties
Mass density   12.31 g cm⁻³
DFT total energy   -0.2922 Ha/atom
Raw formation energy   -109 kJ/mol of formula units
Magnetic moment   0.00 μB/atom
Symmetry   Pm